1.
## PrY5HoSc2 (GGA-PBE)

Data for PrY5HoSc2 after structural relaxation.

abc: 11.146 11.146 9.373
angles: 90.00 90.00 150.70
Fractional positions:
Pr1 0.184 0.816 0.500
Pr2 0.816 0.184 0.000
Y1 0.009 0.991 0.497
Y2 0.265 0.735 0.817
Y3 0.307 0.693 0.198
Y4 0.390 0.610 0.528
Y5 0.469 0.531 0.230
Y6 0.531 0.469 0.730
Y7 0.610 0.390 0.028
Y8 0.693 0.307 0.698
Y9 0.735 0.265 0.317
Y10 0.991 0.009 0.997
Ho1 0.403 0.597 0.900
Ho2 0.597 0.403 0.400
Sc1 0.113 0.887 0.806
Sc2 0.137 0.863 0.182
Sc3 0.863 0.137 0.682
Sc4 0.887 0.113 0.306

Formation energy   0.168 eV per atom
D(E_F)   1.5753 states/eV/atom

2.
## Pr6Y2Ho3Sc (GGA-PBE)

Data for Pr6Y2Ho3Sc after structural relaxation.

abc: 6.272 6.272 11.795
angles: 95.08 95.08 119.99
Fractional positions:
Pr1 0.082 0.412 0.749
Pr2 0.247 0.247 0.251
Pr3 0.412 0.082 0.749
Pr4 0.588 0.918 0.251
Pr5 0.753 0.753 0.749
Pr6 0.918 0.588 0.251
Y1 0.333 0.667 0.500
Y2 0.667 0.333 0.500
Ho1 0.167 0.833 0.000
Ho2 0.500 0.500 0.000
Ho3 0.833 0.167 0.000
Sc1 0.000 0.000 0.500

Formation energy   0.023 eV per atom
D(E_F)   1.0989 states/eV/atom

3.
## PrY3Ho6Sc2 (GGA-PBE)

Data for PrY3Ho6Sc2 after structural relaxation.

abc: 6.073 6.073 11.646
angles: 94.97 94.97 119.96
Fractional positions:
Pr1 0.000 0.000 0.000
Y1 0.167 0.833 0.500
Y2 0.500 0.500 0.500
Y3 0.833 0.167 0.500
Ho1 0.082 0.418 0.246
Ho2 0.254 0.254 0.754
Ho3 0.418 0.082 0.246
Ho4 0.582 0.918 0.754
Ho5 0.746 0.746 0.246
Ho6 0.918 0.582 0.754
Sc1 0.333 0.667 0.000
Sc2 0.667 0.333 0.000

Formation energy   0.041 eV per atom
D(E_F)   1.4427 states/eV/atom

4.
## PrYHo2Sc4 (GGA-PBE)

Data for PrYHo2Sc4 after structural relaxation.

abc: 6.959 6.961 9.325
angles: 89.90 89.98 89.88
Fractional positions:
Pr1 0.000 0.000 0.000
Pr2 0.500 0.000 0.000
Y1 0.000 0.000 0.500
Y2 0.000 0.500 0.000
Ho1 0.000 0.500 0.500
Ho2 0.500 0.000 0.500
Ho3 0.500 0.500 0.000
Ho4 0.500 0.500 0.500
Sc1 0.251 0.253 0.252
Sc2 0.251 0.253 0.748
Sc3 0.251 0.747 0.252
Sc4 0.251 0.747 0.748
Sc5 0.749 0.253 0.252
Sc6 0.749 0.253 0.748
Sc7 0.749 0.747 0.252
Sc8 0.749 0.747 0.748

Formation energy   0.053 eV per atom
D(E_F)   1.5696 states/eV/atom

5.
## Pr6Y2HoSc (GGA-PBE)

Data for Pr6Y2HoSc after structural relaxation.

abc: 6.432 6.432 9.008
angles: 100.45 100.45 71.98
Fractional positions:
Pr1 0.084 0.647 0.716
Pr2 0.343 0.343 0.059
Pr3 0.353 0.916 0.284
Pr4 0.647 0.084 0.716
Pr5 0.657 0.657 0.941
Pr6 0.916 0.353 0.284
Y1 0.128 0.128 0.644
Y2 0.872 0.872 0.356
Ho1 0.500 0.500 0.500
Sc1 0.000 0.000 0.000

Formation energy   0.217 eV per atom
D(E_F)   1.4326 states/eV/atom

6.
## PrY4Ho2Sc (GGA-PBE)

Data for PrY4Ho2Sc after structural relaxation.

abc: 9.420 9.420 6.775
angles: 111.07 111.07 88.29
Fractional positions:
Pr1 0.000 0.500 0.000
Pr2 0.500 0.000 0.500
Y1 0.237 0.241 0.488
Y2 0.240 0.760 0.502
Y3 0.240 0.760 0.998
Y4 0.241 0.237 0.988
Y5 0.759 0.763 0.012
Y6 0.760 0.240 0.002
Y7 0.760 0.240 0.498
Y8 0.763 0.759 0.512
Ho1 0.000 0.500 0.500
Ho2 0.500 0.000 0.000
Ho3 0.500 0.500 0.000
Ho4 0.500 0.500 0.500
Sc1 0.000 0.000 0.000
Sc2 0.000 0.000 0.500

Formation energy   0.435 eV per atom
D(E_F)   2.2111 states/eV/atom

7.
## PrY6Ho2Sc (GGA-PBE)

Data for PrY6Ho2Sc after structural relaxation.

abc: 9.142 9.142 8.753
angles: 90.91 90.91 118.82
Fractional positions:
Pr1 0.033 0.967 0.750
Pr2 0.967 0.033 0.250
Y1 0.046 0.460 0.294
Y2 0.133 0.791 0.052
Y3 0.209 0.867 0.448
Y4 0.266 0.524 0.909
Y5 0.460 0.046 0.794
Y6 0.476 0.734 0.591
Y7 0.524 0.266 0.409
Y8 0.540 0.954 0.206
Y9 0.734 0.476 0.091
Y10 0.791 0.133 0.552
Y11 0.867 0.209 0.948
Y12 0.954 0.540 0.706
Ho1 0.212 0.323 0.558
Ho2 0.323 0.212 0.058
Ho3 0.677 0.788 0.942
Ho4 0.788 0.677 0.442
Sc1 0.443 0.557 0.250
Sc2 0.557 0.443 0.750

Formation energy   0.119 eV per atom
D(E_F)   1.3941 states/eV/atom

8.
## PrYHoSc (GGA-PBE)

Data for PrYHoSc after structural relaxation.

abc: 6.702 6.702 6.702
angles: 146.81 130.26 61.11
Fractional positions:
Pr1 0.000 0.000 0.000
Y1 0.722 0.222 0.500
Ho1 0.457 0.457 0.000
Sc1 0.231 0.731 0.500

Formation energy   0.107 eV per atom
Energy above the most stable polymorph in this dataset   0 meV per atom
D(E_F)   1.8473 states/eV/atom